# AlNi3Os PBE-GGA optimized geometry
# distance to the lowest polymorph of the same formula: 0.00 eV/f.u.
# ΔH_f (0 K): 1168 meV per atom
data_AlNi3Os
_space_group_name_H-M_alt 'P 1'
_space_group_IT_number 1
_cell_length_a 4.1367
_cell_length_b 4.1367
_cell_length_c 4.1367
_cell_angle_alpha 90.00
_cell_angle_beta 90.00
_cell_angle_gamma 90.00
loop_
_space_group_symop_operation_xyz
'x,y,z'
loop_
_atom_site_label
_atom_site_type_symbol
_atom_site_fract_x
_atom_site_fract_y
_atom_site_fract_z
_atom_site_occupancy
Ni1 Ni 0.0000 0.5000 0.0000 1
Ni2 Ni 0.0000 0.0000 0.5000 1
Ni3 Ni 0.5000 0.0000 0.0000 1
Os1 Os 0.5000 0.5000 0.5000 1
Al1 Al 0.0000 0.0000 0.0000 1

=====

# AlNi2Os PBE-GGA optimized geometry
# ΔH_f (0 K): -142 meV per atom
data_AlNi2Os
_space_group_name_H-M_alt 'P 1'
_space_group_IT_number 1
_cell_length_a 4.4895
_cell_length_b 4.4895
_cell_length_c 4.4381
_cell_angle_alpha 79.32
_cell_angle_beta 79.32
_cell_angle_gamma 35.01
loop_
_space_group_symop_operation_xyz
'x,y,z'
loop_
_atom_site_label
_atom_site_type_symbol
_atom_site_fract_x
_atom_site_fract_y
_atom_site_fract_z
_atom_site_occupancy
Ni1 Ni 0.0005 0.0005 0.9940 1
Ni2 Ni 0.4995 0.4995 0.5060 1
Os1 Os 0.7500 0.7500 0.7500 1
Al1 Al 0.2500 0.2500 0.2500 1

=====

# AlNi2Os PBE-GGA optimized geometry
# ΔH_f (0 K): -142 meV per atom
data_AlNi2Os
_space_group_name_H-M_alt 'P 1'
_space_group_IT_number 1
_cell_length_a 4.4601
_cell_length_b 4.4601
_cell_length_c 4.4601
_cell_angle_alpha 130.72
_cell_angle_beta 130.72
_cell_angle_gamma 72.26
loop_
_space_group_symop_operation_xyz
'x,y,z'
loop_
_atom_site_label
_atom_site_type_symbol
_atom_site_fract_x
_atom_site_fract_y
_atom_site_fract_z
_atom_site_occupancy
Ni1 Ni 0.0000 0.0000 0.0000 1
Ni2 Ni 0.5000 0.5000 0.0000 1
Os1 Os 0.2500 0.7500 0.5000 1
Al1 Al 0.7500 0.2500 0.5000 1